[1]
# Hg3PdAu PBE optimized geometry
data_Hg3PdAu
_symmetry_space_group_name_H-M 'P m -3 m'
_symmetry_Int_Tables_number 221
_symmetry_space_group_name_Hall '-P 4 2 3'
_cell_length_a 5.3017
_cell_length_b 5.3017
_cell_length_c 5.3017
_cell_angle_alpha 90.00
_cell_angle_beta 90.00
_cell_angle_gamma 90.00
loop_
_atom_site_label
_atom_site_type_symbol
_atom_site_fract_x
_atom_site_fract_y
_atom_site_fract_z
_atom_site_occupancy
Hg1 Hg 0.0000 0.0000 0.5000 1
Pd1 Pd 0.5000 0.5000 0.5000 1
Au1 Au 0.0000 0.0000 0.0000 1
# Energy relative to the lowest polymorph listed for this composition in eV/atom: 0.514
# Final energy in hartree per atom: -0.0503
# Total magnetization in μB per cell: 0.00
# ΔE_f in meV/atom: 505

[2]
# HgPd3Au2 PBE optimized geometry
data_HgPd3Au2
_symmetry_space_group_name_H-M 'C m c m'
_symmetry_Int_Tables_number 63
_symmetry_space_group_name_Hall '-C 2c 2'
_cell_length_a 2.8683
_cell_length_b 26.9595
_cell_length_c 5.4902
_cell_angle_alpha 90.00
_cell_angle_beta 90.00
_cell_angle_gamma 90.00
loop_
_atom_site_label
_atom_site_type_symbol
_atom_site_fract_x
_atom_site_fract_y
_atom_site_fract_z
_atom_site_occupancy
Hg1 Hg 0.0000 0.1700 0.2500 1
Pd1 Pd 0.0000 0.0774 0.0015 1
Pd2 Pd 0.0000 0.2414 0.7500 1
Au1 Au 0.0000 0.3474 0.2500 1
Au2 Au 0.0000 0.4993 0.7500 1
# Energy relative to the lowest polymorph listed for this composition in eV/atom: 0.129
# Final energy in hartree per atom: -0.1373
# Total magnetization in μB per cell: 0.00
# ΔE_f in meV/atom: 3

[3]
# HgPdAu2 PBE optimized geometry
data_HgPdAu2
_symmetry_space_group_name_H-M 'I -4 2 d'
_symmetry_Int_Tables_number 122
_symmetry_space_group_name_Hall 'I -4 2bw'
_cell_length_a 3.9413
_cell_length_b 3.9413
_cell_length_c 20.2430
_cell_angle_alpha 90.00
_cell_angle_beta 90.00
_cell_angle_gamma 90.00
loop_
_atom_site_label
_atom_site_type_symbol
_atom_site_fract_x
_atom_site_fract_y
_atom_site_fract_z
_atom_site_occupancy
Hg1 Hg 0.0000 0.0000 0.0000 1
Pd1 Pd 0.0000 0.0000 0.5000 1
Au1 Au 0.2455 0.2500 0.6250 1
# Final energy in hartree per atom: -0.1085
# Total magnetization in μB per cell: 0.00
# ΔE_f in meV/atom: 61

[4]
# HgPd6Au3 PBE optimized geometry
data_HgPd6Au3
_symmetry_space_group_name_H-M 'C 1 2/m 1'
_symmetry_Int_Tables_number 12
_symmetry_space_group_name_Hall '-C 2y'
_cell_length_a 14.0752
_cell_length_b 5.6338
_cell_length_c 4.6859
_cell_angle_alpha 90.00
_cell_angle_beta 90.02
_cell_angle_gamma 90.00
loop_
_atom_site_label
_atom_site_type_symbol
_atom_site_fract_x
_atom_site_fract_y
_atom_site_fract_z
_atom_site_occupancy
Hg1 Hg 0.0000 0.0000 0.0000 1
Pd1 Pd 0.1463 0.2502 0.7410 1
Pd2 Pd 0.1780 0.5000 0.2406 1
Au1 Au 0.0000 0.5000 0.5000 1
Au2 Au 0.1824 0.0000 0.2469 1
# Energy relative to the lowest polymorph listed for this composition in eV/atom: 0.157
# Final energy in hartree per atom: -0.1490
# Total magnetization in μB per cell: 0.00
# ΔE_f in meV/atom: 74

[5]
# HgPd2Au4 PBE optimized geometry
data_HgPd2Au4
_symmetry_space_group_name_H-M 'P 1 21/c 1'
_symmetry_Int_Tables_number 14
_symmetry_space_group_name_Hall '-P 2ybc'
_cell_length_a 4.8922
_cell_length_b 9.6105
_cell_length_c 5.7451
_cell_angle_alpha 90.00
_cell_angle_beta 99.88
_cell_angle_gamma 90.00
loop_
_atom_site_label
_atom_site_type_symbol
_atom_site_fract_x
_atom_site_fract_y
_atom_site_fract_z
_atom_site_occupancy
Hg1 Hg 0.0000 0.0000 0.0000 1
Pd1 Pd 0.4674 0.0022 0.7370 1
Au1 Au 0.0526 0.1423 0.4250 1
Au2 Au 0.4258 0.7417 0.4684 1
# Energy relative to the lowest polymorph listed for this composition in eV/atom: 0.035
# Final energy in hartree per atom: -0.1237
# Total magnetization in μB per cell: 0.00
# ΔE_f in meV/atom: 32

[6]
# Hg2PdAu2 PBE optimized geometry
data_Hg2PdAu2
_symmetry_space_group_name_H-M 'C 1 2/c 1'
_symmetry_Int_Tables_number 15
_symmetry_space_group_name_Hall '-C 2yc'
_cell_length_a 13.1217
_cell_length_b 4.9422
_cell_length_c 6.0888
_cell_angle_alpha 90.00
_cell_angle_beta 105.08
_cell_angle_gamma 90.00
loop_
_atom_site_label
_atom_site_type_symbol
_atom_site_fract_x
_atom_site_fract_y
_atom_site_fract_z
_atom_site_occupancy
Hg1 Hg 0.1011 0.1005 0.4551 1
Pd1 Pd 0.0000 0.4055 0.7500 1
Au1 Au 0.1954 0.4058 0.1376 1
# Energy relative to the lowest polymorph listed for this composition in eV/atom: 0.000
# Final energy in hartree per atom: -0.0906
# Total magnetization in μB per cell: 0.00
# ΔE_f in meV/atom: 4

[7]
# Hg2PdAu2 PBE optimized geometry
data_Hg2PdAu2
_symmetry_space_group_name_H-M 'P 4/m b m'
_symmetry_Int_Tables_number 127
_symmetry_space_group_name_Hall '-P 4 2ab'
_cell_length_a 7.3097
_cell_length_b 7.3097
_cell_length_c 3.7945
_cell_angle_alpha 90.00
_cell_angle_beta 90.00
_cell_angle_gamma 90.00
loop_
_atom_site_label
_atom_site_type_symbol
_atom_site_fract_x
_atom_site_fract_y
_atom_site_fract_z
_atom_site_occupancy
Hg1 Hg 0.1687 0.3313 0.0000 1
Pd1 Pd 0.0000 0.0000 0.5000 1
Au1 Au 0.1356 0.6356 0.5000 1
# Energy relative to the lowest polymorph listed for this composition in eV/atom: 0.102
# Final energy in hartree per atom: -0.0869
# Total magnetization in μB per cell: 0.00
# ΔE_f in meV/atom: 106

[8]
# HgPd7Au4 PBE optimized geometry
data_HgPd7Au4
_symmetry_space_group_name_H-M 'P -1'
_symmetry_Int_Tables_number 2
_symmetry_space_group_name_Hall '-P 1'
_cell_length_a 4.9415
_cell_length_b 5.7456
_cell_length_c 7.6083
_cell_angle_alpha 101.51
_cell_angle_beta 108.73
_cell_angle_gamma 90.01
loop_
_atom_site_label
_atom_site_type_symbol
_atom_site_fract_x
_atom_site_fract_y
_atom_site_fract_z
_atom_site_occupancy
Hg1 Hg 0.0000 0.0000 0.0000 1
Pd1 Pd 0.0000 0.5000 0.0000 1
Pd2 Pd 0.1681 0.9180 0.6677 1
Pd3 Pd 0.3337 0.3318 0.3327 1
Pd4 Pd 0.4997 0.2522 0.0004 1
Au1 Au 0.1678 0.4213 0.6690 1
Au2 Au 0.3360 0.8301 0.3357 1
# Energy relative to the lowest polymorph listed for this composition in eV/atom: 0.000
# Final energy in hartree per atom: -0.1557
# Total magnetization in μB per cell: 0.00
# ΔE_f in meV/atom: -91

[9]
# HgPd14Au PBE optimized geometry
data_HgPd14Au
_symmetry_space_group_name_H-M 'A m m 2'
_symmetry_Int_Tables_number 38
_symmetry_space_group_name_Hall 'A 2 -2'
_cell_length_a 9.2813
_cell_length_b 5.6372
_cell_length_c 9.7258
_cell_angle_alpha 90.00
_cell_angle_beta 90.00
_cell_angle_gamma 90.00
loop_
_atom_site_label
_atom_site_type_symbol
_atom_site_fract_x
_atom_site_fract_y
_atom_site_fract_z
_atom_site_occupancy
Hg1 Hg 0.0000 0.0000 0.0000 1
Pd1 Pd 0.0000 0.2499 0.2498 1
Pd2 Pd 0.2520 0.0000 0.3326 1
Pd3 Pd 0.2534 0.0000 0.8322 1
Pd4 Pd 0.2545 0.2494 0.5840 1
Pd5 Pd 0.5000 0.0000 0.1664 1
Pd6 Pd 0.5000 0.0000 0.6663 1
Pd7 Pd 0.5000 0.2497 0.4160 1
Au1 Au 0.0000 0.0000 0.5000 1
# Final energy in hartree per atom: -0.1755
# Total magnetization in μB per cell: 0.02
# ΔE_f in meV/atom: -9

[10]
# Hg6Pd5Au PBE optimized geometry
data_Hg6Pd5Au
_symmetry_space_group_name_H-M 'I m m m'
_symmetry_Int_Tables_number 71
_symmetry_space_group_name_Hall '-I 2 2'
_cell_length_a 4.3247
_cell_length_b 7.9823
_cell_length_c 12.7810
_cell_angle_alpha 90.00
_cell_angle_beta 90.00
_cell_angle_gamma 90.00
loop_
_atom_site_label
_atom_site_type_symbol
_atom_site_fract_x
_atom_site_fract_y
_atom_site_fract_z
_atom_site_occupancy
Hg1 Hg 0.0000 0.2376 0.0000 1
Hg2 Hg 0.0000 0.2569 0.3311 1
Pd1 Pd 0.0000 0.0000 0.1713 1
Pd2 Pd 0.0000 0.5000 0.1593 1
Pd3 Pd 0.0000 0.5000 0.5000 1
Au1 Au 0.0000 0.0000 0.5000 1
# Final energy in hartree per atom: -0.0994
# Total magnetization in μB per cell: 0.00
# ΔE_f in meV/atom: -117

[11]
# Hg2PdAu6 PBE optimized geometry
data_Hg2PdAu6
_symmetry_space_group_name_H-M 'P 1 21/c 1'
_symmetry_Int_Tables_number 14
_symmetry_space_group_name_Hall '-P 2ybc'
_cell_length_a 7.0452
_cell_length_b 5.5798
_cell_length_c 10.1015
_cell_angle_alpha 90.00
_cell_angle_beta 94.27
_cell_angle_gamma 90.00
loop_
_atom_site_label
_atom_site_type_symbol
_atom_site_fract_x
_atom_site_fract_y
_atom_site_fract_z
_atom_site_occupancy
Hg1 Hg 0.1510 0.0000 0.3209 1
Pd1 Pd 0.5000 0.0000 0.5000 1
Au1 Au 0.1767 0.2458 0.0735 1
Au2 Au 0.1766 0.7461 0.5735 1
Au3 Au 0.4997 0.2487 0.7504 1
# Energy relative to the lowest polymorph listed for this composition in eV/atom: 0.081
# Final energy in hartree per atom: -0.1007
# Total magnetization in μB per cell: 0.00
# ΔE_f in meV/atom: 90

[12]
# Hg3Pd8Au2 PBE optimized geometry
data_Hg3Pd8Au2
_symmetry_space_group_name_H-M 'P -1'
_symmetry_Int_Tables_number 2
_symmetry_space_group_name_Hall '-P 1'
_cell_length_a 4.8510
_cell_length_b 7.4273
_cell_length_c 7.4361
_cell_angle_alpha 96.48
_cell_angle_beta 103.56
_cell_angle_gamma 103.70
loop_
_atom_site_label
_atom_site_type_symbol
_atom_site_fract_x
_atom_site_fract_y
_atom_site_fract_z
_atom_site_occupancy
Hg1 Hg 0.0000 0.0000 0.0000 1
Hg2 Hg 0.4125 0.7296 0.7299 1
Pd1 Pd 0.0510 0.1142 0.3760 1
Pd2 Pd 0.0520 0.3763 0.1141 1
Pd3 Pd 0.5002 0.1332 0.8671 1
Pd4 Pd 0.5003 0.3795 0.6200 1
Au1 Au 0.0002 0.2716 0.7284 1
# Energy relative to the lowest polymorph listed for this composition in eV/atom: 0.000
# Final energy in hartree per atom: -0.1350
# Total magnetization in μB per cell: 0.00
# ΔE_f in meV/atom: 96

Question: Number 8 is which compound?
Answer: HgPd7Au4

Repeat the tenth record exactly.
# Hg6Pd5Au PBE optimized geometry
data_Hg6Pd5Au
_symmetry_space_group_name_H-M 'I m m m'
_symmetry_Int_Tables_number 71
_symmetry_space_group_name_Hall '-I 2 2'
_cell_length_a 4.3247
_cell_length_b 7.9823
_cell_length_c 12.7810
_cell_angle_alpha 90.00
_cell_angle_beta 90.00
_cell_angle_gamma 90.00
loop_
_atom_site_label
_atom_site_type_symbol
_atom_site_fract_x
_atom_site_fract_y
_atom_site_fract_z
_atom_site_occupancy
Hg1 Hg 0.0000 0.2376 0.0000 1
Hg2 Hg 0.0000 0.2569 0.3311 1
Pd1 Pd 0.0000 0.0000 0.1713 1
Pd2 Pd 0.0000 0.5000 0.1593 1
Pd3 Pd 0.0000 0.5000 0.5000 1
Au1 Au 0.0000 0.0000 0.5000 1
# Final energy in hartree per atom: -0.0994
# Total magnetization in μB per cell: 0.00
# ΔE_f in meV/atom: -117

Question: Which formula does entry 5 have?
Answer: HgPd2Au4